Below is a relaxed PmSc2B6 crystal, with properties calculated at the GGA-PBE level.

Structure (POSCAR):
```
PmSc2B6
1.0
-1.5921 -0.9694 -3.2486
5.0144 -0.0404 -2.4454
-1.9894 -4.6466 2.3615
Pm Sc B
1 2 6
Direct
0.0000 0.0000 0.0000
0.0000 0.3333 0.6667
0.0000 0.6667 0.3333
0.5000 0.0000 0.3415
0.5000 0.3415 0.0000
0.5000 0.6585 0.6585
0.5000 0.0000 0.6585
0.5000 0.6585 0.0000
0.5000 0.3415 0.3415
```

The calculation puts the raw total energy at -6.99 eV per atom. The volume comes out at 11.2 A^3/atom. The space group is P6/mmm (191). For the size of the total moment, the calculation gives 0.00 Bohr magnetons per cell.

---

Below is a relaxed Pm5BSe4 crystal, with properties calculated at the GGA-PBE level.

Structure (POSCAR):
```
Pm5BSe4
1.0
-5.3294 0.1590 2.4595
-5.4159 0.3317 -4.7481
-2.9322 -6.4987 1.0753
Se Pm B
4 5 1
Direct
0.1979 0.2089 0.3974
0.8042 0.7911 0.6026
0.4068 0.3974 0.7911
0.5952 0.6026 0.2089
0.2748 0.8181 0.6344
0.7273 0.1819 0.3656
0.5008 0.0000 0.0000
0.0929 0.6344 0.1819
0.9092 0.3656 0.8181
0.0011 0.0000 0.0000
```

The calculation puts the raw total energy at -5.97 eV per atom. The volume comes out at 25.5 A^3/atom. The space group is I4/m (87). For the size of the total moment, the calculation gives 0.00 Bohr magnetons per cell. Its formation energy (no corrections) is -1.5378 eV per atom.

---

Below is a relaxed Pm2BSe5 crystal, with properties calculated at the GGA-PBE level.

Structure (POSCAR):
```
Pm2BSe5
1.0
7.1171 -0.4990 -0.7608
-0.5426 7.1198 0.7545
-3.7449 -2.8524 4.0576
Se Pm B
5 2 1
Direct
0.2839 0.2790 0.1753
0.7190 0.7634 0.4829
0.8958 0.8918 0.1749
0.1975 0.7075 0.9063
0.7031 0.2204 0.9230
0.7672 0.1763 0.4666
0.2896 0.6990 0.4649
0.9210 0.0396 0.9602
```

The calculation puts the raw total energy at -5.30 eV per atom. The volume comes out at 25.0 A^3/atom. The space group is P1 (1). For the size of the total moment, the calculation gives 0.00 Bohr magnetons per cell. Its formation energy (no corrections) is -1.1035 eV per atom.